# 1
# NiIrAu2

A relaxed NiIrAu2 crystal (GGA-PBEsol, Alexandria).

Polymorph energy (0 for the lowest one) (meV per atom): 13
Crystal system: tetragonal
Calculated volume (Å³ per cell): 59.3
Space-group type: No. 123
Formation enthalpy at 0 K (eV per formula unit): 1.35
Mass density (g/cm3): 18.05

Lattice parameters (Å, degrees): 4.6304 4.6304 2.7670 90.00 90.00 90.00
Element x y z (fractional)
Ni: 0.0000 0.0000 0.0000
Ir: 0.5000 0.5000 0.0000
Au: 0.0000 0.5000 0.5000
Au: 0.5000 0.0000 0.5000

# 2
# NiIr2Au

A relaxed NiIr2Au crystal (GGA-PBEsol, Alexandria).

Polymorph energy (0 for the lowest one) (meV per atom): 0
Crystal system: tetragonal
Calculated volume (Å³ per cell): 55.5
Space-group type: No. 119
Formation enthalpy at 0 K (eV per formula unit): 1.02
Mass density (g/cm3): 19.17

Lattice parameters (Å, degrees): 4.6632 4.6632 4.6632 131.65 131.65 70.78
Element x y z (fractional)
Ni: 0.0000 0.0000 0.0000
Ir: 0.2500 0.7500 0.5000
Ir: 0.5000 0.5000 0.0000
Au: 0.7500 0.2500 0.5000

# 3
# P2IrAuO

A relaxed P2IrAuO crystal (GGA-PBEsol, Alexandria).

Crystal system: tetragonal
Energy relative to the elements, uncorrected (eV/atom): 1.24
Calculated volume (Å³ per cell): 82.1
Space-group type: No. 123
Mass density (g/cm3): 9.44

Lattice parameters (Å, degrees): 4.7261 4.7261 3.6778 90.00 90.00 90.00
Element x y z (fractional)
P: 0.0000 0.5000 0.0000
P: 0.5000 0.0000 0.0000
Ir: 0.0000 0.0000 0.5000
Au: 0.5000 0.5000 0.0000
O: 0.5000 0.5000 0.5000

# 4
# Ir2OsAu

A relaxed Ir2OsAu crystal (GGA-PBEsol, Alexandria).

Crystal system: tetragonal
Calculated volume (Å³ per cell): 58.7
Space-group type: No. 99
Formation enthalpy at 0 K (eV per formula unit): 1.11
Mass density (g/cm3): 21.81

Lattice parameters (Å, degrees): 2.7375 2.7375 7.8381 90.00 90.00 90.00
Element x y z (fractional)
Ir: 0.0000 0.0000 0.0000
Ir: 0.5000 0.5000 0.2418
Os: 0.0000 0.0000 0.4729
Au: 0.5000 0.5000 0.7357

# 5
# PIr2Au

A relaxed PIr2Au crystal (GGA-PBEsol, Alexandria).

Crystal system: orthorhombic
Calculated volume (Å³ per cell): 61.8
Space-group type: No. 44
Formation enthalpy at 0 K (eV per formula unit): 0.31
Mass density (g/cm3): 16.44

Lattice parameters (Å, degrees): 7.2270 7.2270 7.2270 157.17 154.99 34.11
Element x y z (fractional)
P: 0.0000 0.0000 0.0000
Ir: 0.5745 0.5745 0.0000
Ir: 0.8732 0.3732 0.5000
Au: 0.2378 0.7378 0.5000

# 6
# IrPbAu2

A relaxed IrPbAu2 crystal (GGA-PBEsol, Alexandria).

Crystal system: tetragonal
Calculated volume (Å³ per cell): 71.5
Space-group type: No. 119
Formation enthalpy at 0 K (eV per formula unit): 1.41
Mass density (g/cm3): 18.43

Lattice parameters (Å, degrees): 5.1222 5.1222 5.1222 132.58 132.58 69.31
Element x y z (fractional)
Ir: 0.0000 0.0000 0.0000
Pb: 0.7500 0.2500 0.5000
Au: 0.2500 0.7500 0.5000
Au: 0.5000 0.5000 0.0000

# 7
# IrPbAu2

A relaxed IrPbAu2 crystal (GGA-PBEsol, Alexandria).

Crystal system: tetragonal
Calculated volume (Å³ per cell): 72.1
Space-group type: No. 139
Formation enthalpy at 0 K (eV per formula unit): 1.48
Mass density (g/cm3): 18.26

Lattice parameters (Å, degrees): 5.4451 5.4451 5.4451 137.76 137.76 61.27
Element x y z (fractional)
Ir: 0.0000 0.0000 0.0000
Pb: 0.5000 0.5000 0.0000
Au: 0.2500 0.7500 0.5000
Au: 0.7500 0.2500 0.5000

# 8
# IrRhPbAu2

A relaxed IrRhPbAu2 crystal (GGA-PBEsol, Alexandria).

Crystal system: tetragonal
Calculated volume (Å³ per cell): 116.1
Space-group type: No. 123
Formation enthalpy at 0 K (eV per formula unit): 4.68
Mass density (g/cm3): 12.82

Lattice parameters (Å, degrees): 5.0375 5.0375 4.5745 90.00 90.00 90.00
Element x y z (fractional)
Ir: 0.0000 0.0000 0.0000
Rh: 0.0000 0.0000 0.5000
Pb: 0.5000 0.5000 0.5000
Au: 0.0000 0.5000 0.0000
Au: 0.5000 0.0000 0.0000